MgCd2Cl6 | PBE | optimized geometry

Computed properties:
**Raw total energy**: -26.6 eV per cell
**Mass density**: 3.1 g cm⁻³
**Formation energy without anion corrections**: -129.1 kJ/mol of atoms

a = 3.8131 Å, b = 7.8310 Å, c = 8.6493 Å
α = 104.10°, β = 102.73°, γ = 90.00°
Element x y z (fractional)
Mg: 0.5000 0.0000 0.0000
Cd: 0.8360 0.6675 0.6720
Cd: 0.1640 0.3325 0.3280
Cl: 0.3454 0.9096 0.6907
Cl: 0.0011 0.2194 0.0022
Cl: 0.6715 0.5722 0.3431
Cl: 0.9989 0.7806 0.9978
Cl: 0.6546 0.0904 0.3093
Cl: 0.3285 0.4278 0.6569

***

MgCd2Cl | PBE | optimized geometry

Computed properties:
**Raw total energy**: -6.5 eV per cell
**Mass density**: 5.1 g cm⁻³
**Formation energy without anion corrections**: -29.7 kJ/mol of atoms

a = 3.1565 Å, b = 4.9269 Å, c = 5.9944 Å
α = 90.00°, β = 90.00°, γ = 90.00°
Element x y z (fractional)
Cd: 0.0000 0.0000 0.0000
Cd: 0.5000 0.5000 0.0000
Cl: 0.5000 0.0000 0.5000
Mg: 0.0000 0.5000 0.5000

***

MgCd2Cl | PBE | optimized geometry

Computed properties:
**Raw total energy**: -7.0 eV per cell
**Mass density**: 4.9 g cm⁻³
**Formation energy without anion corrections**: -42.4 kJ/mol of atoms

a = 3.3008 Å, b = 3.3008 Å, c = 8.8032 Å
α = 90.00°, β = 90.00°, γ = 90.00°
Element x y z (fractional)
Cd: 0.0000 0.0000 0.9743
Cd: 0.5000 0.5000 0.2048
Cl: 0.0000 0.0000 0.5803
Mg: 0.5000 0.5000 0.7406